# 1
# TcH2N, optimized geometry, DFT PBE-GGA
# excess energy over the best structure of this formula in the dataset = 348 meV per atom
# size of the total moment = 0.000 μB/atom
# calculated total energy = -5.096 eV/atom
data_TcH2N
_chemical_formula_sum 'Tc3 H6 N3'
_symmetry_space_group_name_H-M 'R -3 m'
_symmetry_Int_Tables_number 166
_symmetry_space_group_name_Hall '-R 3 2"'
_cell_length_a 2.7239
_cell_length_b 2.7239
_cell_length_c 12.5320
_cell_angle_alpha 90.00
_cell_angle_beta 90.00
_cell_angle_gamma 120.00
loop_
_atom_site_label
_atom_site_type_symbol
_atom_site_fract_x
_atom_site_fract_y
_atom_site_fract_z
Tc1 Tc 0.0000 0.0000 0.0000
H1 H 0.0000 0.0000 0.1461
N1 N 0.0000 0.0000 0.5000

***

# 2
# Mg3NbSb, optimized geometry, DFT PBE-GGA
# excess energy over the best structure of this formula in the dataset = 0 meV per atom
# size of the total moment = 0.700 μB/atom
# calculated total energy = -2.788 eV/atom
# ΔE_f (raw) = 1007 meV per atom
data_Mg3NbSb
_chemical_formula_sum 'Mg3 Nb1 Sb1'
_symmetry_space_group_name_H-M 'P m -3 m'
_symmetry_Int_Tables_number 221
_symmetry_space_group_name_Hall '-P 4 2 3'
_cell_length_a 5.311
_cell_length_b 5.311
_cell_length_c 5.311
_cell_angle_alpha 90.00
_cell_angle_beta 90.00
_cell_angle_gamma 90.00
loop_
_atom_site_label
_atom_site_type_symbol
_atom_site_fract_x
_atom_site_fract_y
_atom_site_fract_z
Mg1 Mg 0.000 0.000 0.500
Nb1 Nb 0.500 0.500 0.500
Sb1 Sb 0.000 0.000 0.000

***

Which of these has the highest calculated total energy?
Mg3NbSb

***

Copy entry 2 word for word.
# Mg3NbSb, optimized geometry, DFT PBE-GGA
# excess energy over the best structure of this formula in the dataset = 0 meV per atom
# size of the total moment = 0.700 μB/atom
# calculated total energy = -2.788 eV/atom
# ΔE_f (raw) = 1007 meV per atom
data_Mg3NbSb
_chemical_formula_sum 'Mg3 Nb1 Sb1'
_symmetry_space_group_name_H-M 'P m -3 m'
_symmetry_Int_Tables_number 221
_symmetry_space_group_name_Hall '-P 4 2 3'
_cell_length_a 5.311
_cell_length_b 5.311
_cell_length_c 5.311
_cell_angle_alpha 90.00
_cell_angle_beta 90.00
_cell_angle_gamma 90.00
loop_
_atom_site_label
_atom_site_type_symbol
_atom_site_fract_x
_atom_site_fract_y
_atom_site_fract_z
Mg1 Mg 0.000 0.000 0.500
Nb1 Nb 0.500 0.500 0.500
Sb1 Sb 0.000 0.000 0.000